No. 1
Ba3Si6N2O12 | Alexandria | PBE | relaxed; formation energy (no corrections) = -5941.1 kJ/mol of formula units; M_tot = 0.00 Bohr magnetons per cell
1.0
7.600 0.000 0.000
-3.800 6.581 0.000
0.000 0.000 6.594
Ba Si N O
3 6 2 12
direct
0.000 0.000 0.000
0.333 0.667 0.102
0.667 0.333 0.898
0.172 0.408 0.610
0.236 0.828 0.610
0.408 0.236 0.390
0.592 0.764 0.610
0.764 0.172 0.390
0.828 0.592 0.390
0.333 0.667 0.562
0.667 0.333 0.438
0.015 0.318 0.412
0.065 0.362 0.828
0.297 0.935 0.828
0.303 0.985 0.412
0.318 0.303 0.588
0.362 0.297 0.172
0.638 0.703 0.828
0.682 0.697 0.412
0.697 0.015 0.588
0.703 0.065 0.172
0.935 0.638 0.172
0.985 0.682 0.588

No. 2
Pm2Be3CuGe4 | Alexandria | PBE | relaxed; M_tot = 0.00 Bohr magnetons per cell; formation enthalpy at 0 K = -0.4057 eV/atom
1.0
4.124 0.000 0.000
0.000 4.124 0.000
0.000 0.000 9.750
Pm Be Cu Ge
2 3 1 4
direct
0.000 0.500 0.249
0.500 0.000 0.751
0.000 0.500 0.873
0.500 0.000 0.127
0.500 0.500 0.500
0.000 0.000 0.500
0.000 0.000 0.000
0.000 0.500 0.637
0.500 0.000 0.363
0.500 0.500 0.000

no.,uncorrected energy (eV per atom)
1,-7.65
2,-4.73